Computed, not measured: CsYGe3 at its PBEsol-relaxed geometry at the SCAN level of DFT.

As for the symmetry: No. 221. The formation energy is 1.49 eV per atom. The crystal system is cubic.

Cell: 5.411 5.411 5.411 Å, 90.00 90.00 90.00°
Positions (direct):
Ge 0.000 0.000 0.500
Ge 0.000 0.500 0.000
Ge 0.500 0.000 0.000
Cs 0.000 0.000 0.000
Y 0.500 0.500 0.500



Computed, not measured: NiB3S at its PBEsol-relaxed geometry at the SCAN level of DFT.

The value obtained for the energy relative to the elements, uncorrected is 1.233 eV/atom. As for the symmetry: No. 221. The crystal system is cubic.

Cell: 3.817 3.817 3.817 Å, 90.00 90.00 90.00°
Positions (direct):
B 0.000 0.500 0.000
B 0.000 0.000 0.500
B 0.500 0.000 0.000
Ni 0.000 0.000 0.000
S 0.500 0.500 0.500



Computed, not measured: MoPtRh2 at its PBEsol-relaxed geometry at the SCAN level of DFT.

The energy above the lowest structure with this stoichiometry is 0.025 eV per formula unit. As for the symmetry: No. 119. The formation energy is -0.26 eV per atom. The crystal system is tetragonal.

Cell: 3.830 3.830 4.715 Å, 113.96 113.96 90.00°
Positions (direct):
Mo 0.000 0.000 0.000
Rh 0.500 0.500 0.000
Rh 0.750 0.250 0.500
Pt 0.250 0.750 0.500